# MgFeRe2 | the Alexandria database | PBE-GGA | optimized geometry
# Calculated formation energy = 0.251 eV/atom
data_MgFeRe2
_cell_length_a 2.635
_cell_length_b 4.419
_cell_length_c 5.102
_cell_angle_alpha 90.00
_cell_angle_beta 100.46
_cell_angle_gamma 90.00
_space_group_name_H-M_alt 'P 1 2/m 1'
_space_group_IT_number 10
loop_
_space_group_symop_operation_xyz
'x,y,z'
'-x,-y,-z'
'-x,y,-z'
'x,-y,z'
loop_
_atom_site_label
_atom_site_type_symbol
_atom_site_fract_x
_atom_site_fract_y
_atom_site_fract_z
Mg1 Mg 0.000 0.000 0.000
Fe1 Fe 0.500 0.000 0.500
Re1 Re 0.291 0.500 0.750



# MgFeRe2 | the Alexandria database | PBE-GGA | optimized geometry
# Calculated formation energy = 0.256 eV/atom
data_MgFeRe2
_cell_length_a 2.7468
_cell_length_b 2.7468
_cell_length_c 26.9588
_cell_angle_alpha 90.00
_cell_angle_beta 90.00
_cell_angle_gamma 120.00
_space_group_name_H-M_alt 'R -3 m'
_space_group_IT_number 166
_space_group_name_Hall '-R 3 2"'
loop_
_atom_site_label
_atom_site_type_symbol
_atom_site_fract_x
_atom_site_fract_y
_atom_site_fract_z
Mg1 Mg 0.0000 0.0000 0.0000
Fe1 Fe 0.0000 0.0000 0.5000
Re1 Re 0.0000 0.0000 0.2427



# MgFe2Re | the Alexandria database | PBE-GGA | optimized geometry
# Calculated formation energy = 0.259 eV/atom
data_MgFe2Re
_cell_length_a 2.701
_cell_length_b 3.724
_cell_length_c 5.541
_cell_angle_alpha 90.00
_cell_angle_beta 90.00
_cell_angle_gamma 90.00
_space_group_name_H-M_alt 'P m m m'
_space_group_IT_number 47
loop_
_space_group_symop_operation_xyz
'x,y,z'
'-x,-y,-z'
'-x,-y,z'
'x,y,-z'
'x,-y,-z'
'-x,y,z'
'-x,y,-z'
'x,-y,z'
loop_
_atom_site_label
_atom_site_type_symbol
_atom_site_fract_x
_atom_site_fract_y
_atom_site_fract_z
Mg1 Mg 0.000 0.000 0.000
Fe1 Fe 0.500 0.500 0.280
Re1 Re 0.000 0.000 0.500



# MgFe2Re | the Alexandria database | PBE-GGA | optimized geometry
# Calculated formation energy = 0.217 eV/atom
data_MgFe2Re
_cell_length_a 5.893
_cell_length_b 5.893
_cell_length_c 5.893
_cell_angle_alpha 90.00
_cell_angle_beta 90.00
_cell_angle_gamma 90.00
_space_group_name_H-M_alt 'F m -3 m'
_space_group_IT_number 225
_space_group_name_Hall '-F 4 2 3'
loop_
_atom_site_label
_atom_site_type_symbol
_atom_site_fract_x
_atom_site_fract_y
_atom_site_fract_z
Mg1 Mg 0.000 0.000 0.000
Fe1 Fe 0.250 0.250 0.250
Re1 Re 0.000 0.000 0.500